Here is ZrSi2Te after structural relaxation from Alexandria via LeMat-Bulk. Energies are from PBE.

Cell lengths 5.505, 5.505, 5.505 Å; angles 136.12, 136.12, 63.80 degrees
Sites, in units of the cell vectors:
Si 0.000 0.000 0.000
Si 0.500 0.500 0.000
Te 0.250 0.750 0.500
Zr 0.750 0.250 0.500

Values from the calculation:
ΔE_f (raw), eV per atom: 0.0627
Volume, Å³/atom: 19.77
E_tot, eV per formula unit: -22.3


Here is ZrSi3Te after structural relaxation from Alexandria via LeMat-Bulk. Energies are from PBE.

Cell lengths 5.156, 5.156, 5.156 Å; angles 90.00, 90.00, 90.00 degrees
Sites, in units of the cell vectors:
Si 0.000 0.500 0.000
Si 0.000 0.000 0.500
Si 0.500 0.000 0.000
Te 0.500 0.500 0.500
Zr 0.000 0.000 0.000

Values from the calculation:
ΔE_f (raw), eV per atom: 0.8781
Volume, Å³/atom: 27.41
E_tot, eV per formula unit: -23.6


Here is ZrSiTe2 after structural relaxation from Alexandria via LeMat-Bulk. Energies are from PBE.

Cell lengths 4.688, 4.029, 5.497 Å; angles 68.50, 90.00, 90.00 degrees
Sites, in units of the cell vectors:
Si 0.500 0.552 0.772
Te 0.000 0.981 0.912
Te 0.500 0.281 0.312
Zr 0.000 0.686 0.503

Values from the calculation:
ΔE_f (raw), eV per atom: -0.3449
Volume, Å³/atom: 24.15
E_tot, eV per formula unit: -21.6


Here is Zr2SiTe after structural relaxation from Alexandria via LeMat-Bulk. Energies are from PBE.

Cell lengths 3.380, 3.380, 7.233 Å; angles 90.00, 90.00, 90.00 degrees
Sites, in units of the cell vectors:
Si 0.500 0.500 0.250
Te 0.500 0.500 0.750
Zr 0.000 0.000 0.016
Zr 0.000 0.000 0.484

Values from the calculation:
ΔE_f (raw), eV per atom: -0.5008
Volume, Å³/atom: 20.66
E_tot, eV per formula unit: -27.7


Here is ZrSi2Te after structural relaxation from Alexandria via LeMat-Bulk. Energies are from PBE.

Cell lengths 4.997, 4.997, 4.997 Å; angles 56.84, 56.84, 56.84 degrees
Sites, in units of the cell vectors:
Si 0.975 0.975 0.975
Si 0.525 0.525 0.525
Te 0.250 0.250 0.250
Zr 0.750 0.750 0.750

Values from the calculation:
ΔE_f (raw), eV per atom: 0.3509
Volume, Å³/atom: 20.45
E_tot, eV per formula unit: -21.1


Here is Zr2Si2Te after structural relaxation from Alexandria via LeMat-Bulk. Energies are from PBE.

Cell lengths 7.573, 7.573, 3.634 Å; angles 90.00, 90.00, 90.00 degrees
Sites, in units of the cell vectors:
Si 0.114 0.614 0.500
Si 0.614 0.886 0.500
Si 0.886 0.386 0.500
Si 0.386 0.114 0.500
Te 0.000 0.000 0.000
Te 0.500 0.500 0.000
Zr 0.331 0.831 0.000
Zr 0.831 0.669 0.000
Zr 0.669 0.169 0.000
Zr 0.169 0.331 0.000

Values from the calculation:
ΔE_f (raw), eV per atom: -0.4943
Volume, Å³/atom: 20.85
E_tot, eV per formula unit: -33.6